Entry 1:
A plane-wave DFT calculation with PBE was carried out for a geometry-optimized Cs2YInSe4 structure.

Calculated values
Its space-group type is Imma (74). The calculation puts the total magnetic moment at 0.0 μB per formula unit. The theoretical density comes out at 5.00 g/cm³. For the uncorrected formation energy, the calculation gives -1152 meV per atom.

Cell lengths 9.053, 9.053, 8.940 Å; angles 119.57, 119.57, 90.68 degrees
Positions (direct):
Cs1 0.000 0.000 0.500
Cs2 0.500 0.500 0.000
Cs3 0.500 0.000 0.500
Cs4 0.500 0.000 0.000
Y1 0.000 0.500 0.500
Y2 0.000 0.500 0.000
Se1 0.770 0.730 0.545
Se2 0.811 0.271 0.041
Se3 0.770 0.730 0.955
Se4 0.229 0.689 0.459
Se5 0.771 0.311 0.541
Se6 0.189 0.729 0.959
Se7 0.230 0.270 0.045
Se8 0.230 0.270 0.455
In1 0.500 0.500 0.500
In2 0.000 0.000 0.000



Entry 2:
A plane-wave DFT calculation with PBE was carried out for a geometry-optimized Cs3InSi structure.

Calculated values
Its space-group type is Pm-3m (221). The calculation puts the total magnetic moment at 2.8 μB per formula unit. The theoretical density comes out at 2.35 g/cm³. For the uncorrected formation energy, the calculation gives 646 meV per atom.

Cell lengths 7.260, 7.260, 7.260 Å; angles 90.00, 90.00, 90.00 degrees
Positions (direct):
Cs1 0.500 0.000 0.000
Cs2 0.000 0.500 0.000
Cs3 0.000 0.000 0.500
Si1 0.500 0.500 0.500
In1 0.000 0.000 0.000



Entry 3:
A plane-wave DFT calculation with PBE was carried out for a geometry-optimized Cs2In2Si structure.

Calculated values
The calculation puts the offset from the most stable computed form at 510 meV per atom. Its space-group type is I4/mmm (139). The calculation puts the total magnetic moment at 0.0 μB per formula unit. The theoretical density comes out at 4.33 g/cm³. For the uncorrected formation energy, the calculation gives 673 meV per atom.

Cell lengths 4.881, 4.881, 9.102 Å; angles 74.45, 74.45, 90.00 degrees
Positions (direct):
In1 0.417 0.417 0.166
In2 0.583 0.583 0.834
Si1 0.000 0.000 0.000
Cs1 0.750 0.250 0.500
Cs2 0.250 0.750 0.500



Entry 4:
A plane-wave DFT calculation with PBE was carried out for a geometry-optimized Cs2In2Si structure.

Calculated values
The calculation puts the offset from the most stable computed form at 0 meV per atom. Its space-group type is P4/mbm (127). The calculation puts the total magnetic moment at 0.0 μB per formula unit. The theoretical density comes out at 4.76 g/cm³. For the uncorrected formation energy, the calculation gives 163 meV per atom.

Cell lengths 7.455, 7.455, 6.578 Å; angles 90.00, 90.00, 90.00 degrees
Positions (direct):
Cs1 0.684 0.816 0.500
Cs2 0.316 0.184 0.500
Cs3 0.816 0.316 0.500
Cs4 0.184 0.684 0.500
In1 0.640 0.140 0.000
In2 0.860 0.640 0.000
In3 0.140 0.360 0.000
In4 0.360 0.860 0.000
Si1 0.500 0.500 0.000
Si2 0.000 0.000 0.000



Entry 5:
A plane-wave DFT calculation with PBE was carried out for a geometry-optimized CsIn2SiTc structure.

Calculated values
Its space-group type is P4/mmm (123). The calculation puts the total magnetic moment at 0.0 μB per formula unit. The theoretical density comes out at 5.89 g/cm³. For the uncorrected formation energy, the calculation gives 3 meV per atom.

Cell lengths 5.362, 5.362, 4.790 Å; angles 90.00, 90.00, 90.00 degrees
Positions (direct):
Si1 0.000 0.000 0.500
In1 0.000 0.500 0.000
In2 0.500 0.000 0.000
Tc1 0.000 0.000 0.000
Cs1 0.500 0.500 0.500



Entry 6:
A plane-wave DFT calculation with PBE was carried out for a geometry-optimized CsInSiTe4 structure.

Calculated values
Its space-group type is P2_1/m (11). The calculation puts the total magnetic moment at 0.0 μB per formula unit. The theoretical density comes out at 4.34 g/cm³. For the uncorrected formation energy, the calculation gives -414 meV per atom.

Cell lengths 7.054, 8.457, 10.301 Å; angles 90.00, 101.50, 90.00 degrees
Positions (direct):
Si1 0.144 0.750 0.307
Si2 0.856 0.250 0.693
Te1 0.681 0.250 0.888
Te2 0.319 0.750 0.112
Te3 0.079 0.012 0.709
Te4 0.415 0.750 0.513
Te5 0.079 0.488 0.709
Te6 0.585 0.250 0.487
Te7 0.921 0.512 0.291
Te8 0.921 0.988 0.291
In1 0.349 0.250 0.675
In2 0.651 0.750 0.325
Cs1 0.239 0.250 0.081
Cs2 0.761 0.750 0.919



Entry 7:
A plane-wave DFT calculation with PBE was carried out for a geometry-optimized CsSmIn2 structure.

Calculated values
Its space-group type is P4/mmm (123). As for the formation energy: -0.84 eV per formula unit. The calculation puts the total magnetic moment at 0.0 μB per formula unit. The theoretical density comes out at 5.83 g/cm³.

Cell lengths 3.989, 3.989, 9.178 Å; angles 90.00, 90.00, 90.00 degrees
Positions (direct):
Cs1 0.500 0.500 0.500
In1 0.000 0.000 0.184
In2 0.000 0.000 0.816
Sm1 0.500 0.500 0.000



Entry 8:
A plane-wave DFT calculation with PBE was carried out for a geometry-optimized CsSmInTe3 structure.

Calculated values
Its space-group type is P2_1/m (11). The calculation puts the total magnetic moment at 0.0 μB per formula unit. The theoretical density comes out at 4.96 g/cm³. For the uncorrected formation energy, the calculation gives -966 meV per atom.

Cell lengths 4.644, 10.201, 11.505 Å; angles 106.54, 90.00, 90.00 degrees
Positions (direct):
Cs1 0.750 0.794 0.755
Cs2 0.250 0.206 0.245
In1 0.250 0.068 0.626
In2 0.750 0.932 0.374
Te1 0.750 0.869 0.111
Te2 0.250 0.131 0.889
Te3 0.250 0.538 0.843
Te4 0.750 0.227 0.578
Te5 0.750 0.462 0.157
Te6 0.250 0.773 0.422
Sm1 0.750 0.342 0.878
Sm2 0.250 0.658 0.122